Entry 1:
First-principles (PBE-GGA) data for an optimized crystal structure of Pr5Sm2Cd5, as listed in the Alexandria database.

Output
Its total magnetic moment is 0.00 μB per formula unit. As for the crystal system: monoclinic. The calculation puts the calculated formation energy at -1.5 eV/f.u.

Unit cell a=16.355 b=3.546 c=12.715 alpha=90.00 beta=95.52 gamma=90.00
Space group C2/m (No. 12)
One atom of each set of equivalent atoms:
Pr: 0.000 0.000 0.000 [2 per cell]
Pr: 0.153 0.000 0.398 [4 per cell]
Pr: 0.192 0.500 0.897 [4 per cell]
Sm: 0.024 0.500 0.745 [4 per cell]
Cd: 0.000 0.500 0.500 [2 per cell]
Cd: 0.148 0.500 0.161 [4 per cell]
Cd: 0.181 0.000 0.666 [4 per cell]

Entry 2:
First-principles (PBE-GGA) data for an optimized crystal structure of Pr2Sm4Cd, as listed in the Alexandria database.

Output
Its total magnetic moment is 0.00 μB per formula unit. As for the crystal system: monoclinic. The calculation puts the calculated formation energy at 0.1 eV/f.u.

Unit cell a=17.355 b=3.657 c=8.398 alpha=90.00 beta=117.38 gamma=90.00
Space group C2/m (No. 12)
One atom of each set of equivalent atoms:
Pr: 0.213 0.000 0.129 [4 per cell]
Sm: 0.059 0.500 0.738 [4 per cell]
Sm: 0.144 0.000 0.468 [4 per cell]
Cd: 0.000 0.000 0.000 [2 per cell]

Entry 3:
First-principles (PBE-GGA) data for an optimized crystal structure of Pr2SmCd6, as listed in the Alexandria database.

Output
Its total magnetic moment is 0.39 μB per formula unit. As for the crystal system: hexagonal. The calculation puts the calculated formation energy at -3.1 eV/f.u.

Unit cell a=8.8183 b=8.8183 c=3.4710 alpha=90.00 beta=90.00 gamma=120.00
Space group P6/mmm (No. 191)
One atom of each set of equivalent atoms:
Pr: 0.3333 0.6667 0.0000 [2 per cell]
Sm: 0.0000 0.0000 0.0000 [1 per cell]
Cd: 0.0000 0.3315 0.5000 [6 per cell]

Entry 4:
First-principles (PBE-GGA) data for an optimized crystal structure of Pr5Sm4Cd2, as listed in the Alexandria database.

Output
Its total magnetic moment is 0.00 μB per formula unit. As for the crystal system: monoclinic. The calculation puts the calculated formation energy at -0.1 eV/f.u.

Unit cell a=8.885 b=3.587 c=11.346 alpha=90.00 beta=94.80 gamma=90.00
Space group P2/m (No. 10)
One atom of each set of equivalent atoms:
Pr: 0.000 0.000 0.000 [1 per cell]
Pr: 0.051 0.000 0.308 [2 per cell]
Pr: 0.307 0.000 0.840 [2 per cell]
Sm: 0.253 0.500 0.553 [2 per cell]
Sm: 0.341 0.500 0.130 [2 per cell]
Cd: 0.438 0.000 0.367 [2 per cell]

Entry 5:
First-principles (PBE-GGA) data for an optimized crystal structure of Pr4Sm3Cd4, as listed in the Alexandria database.

Output
Its total magnetic moment is 0.00 μB per formula unit. As for the crystal system: orthorhombic. The calculation puts the calculated formation energy at -0.5 eV/f.u.

Unit cell a=4.864 b=8.606 c=16.916 alpha=90.00 beta=90.00 gamma=90.00
Space group Immm (No. 71)
One atom of each set of equivalent atoms:
Pr: 0.000 0.197 0.166 [8 per cell]
Sm: 0.000 0.000 0.385 [4 per cell]
Sm: 0.000 0.500 0.500 [2 per cell]
Cd: 0.000 0.332 0.000 [4 per cell]
Cd: 0.000 0.500 0.270 [4 per cell]

Entry 6:
First-principles (PBE-GGA) data for an optimized crystal structure of Pr2Sm3Cd2, as listed in the Alexandria database.

Output
Its total magnetic moment is 0.55 μB per formula unit. As for the crystal system: orthorhombic. The calculation puts the calculated formation energy at -0.8 eV/f.u.

Unit cell a=3.659 b=33.301 c=3.617 alpha=90.00 beta=90.00 gamma=90.00
Space group Cmmm (No. 65)
One atom of each set of equivalent atoms:
Pr: 0.000 0.203 0.000 [4 per cell]
Sm: 0.000 0.076 0.000 [4 per cell]
Sm: 0.000 0.500 0.500 [2 per cell]
Cd: 0.000 0.362 0.500 [4 per cell]

Entry 7:
First-principles (PBE-GGA) data for an optimized crystal structure of Pr4Sm9Cd11, as listed in the Alexandria database.

Output
Its total magnetic moment is 0.01 μB per formula unit. As for the crystal system: orthorhombic. The calculation puts the calculated formation energy at -5.9 eV/f.u.

Unit cell a=16.184 b=23.229 c=3.630 alpha=90.00 beta=90.00 gamma=90.00
Space group Cmmm (No. 65)
One atom of each set of equivalent atoms:
Pr: 0.166 0.084 0.000 [8 per cell]
Sm: 0.000 0.000 0.000 [2 per cell]
Sm: 0.111 0.405 0.000 [8 per cell]
Sm: 0.116 0.230 0.000 [8 per cell]
Cd: 0.000 0.130 0.500 [4 per cell]
Cd: 0.000 0.316 0.500 [4 per cell]
Cd: 0.000 0.500 0.500 [2 per cell]
Cd: 0.208 0.500 0.500 [4 per cell]
Cd: 0.228 0.318 0.500 [8 per cell]

Entry 8:
First-principles (PBE-GGA) data for an optimized crystal structure of Pr3Sm8Cd, as listed in the Alexandria database.

Output
Its total magnetic moment is 0.00 μB per formula unit. As for the crystal system: tetragonal. The calculation puts the calculated formation energy at 5.6 eV/f.u.

Unit cell a=8.742 b=8.742 c=11.440 alpha=90.00 beta=90.00 gamma=90.00
Space group I-42m (No. 121)
One atom of each set of equivalent atoms:
Pr: 0.000 0.000 0.000 [2 per cell]
Pr: 0.000 0.500 0.250 [4 per cell]
Sm: 0.126 0.126 0.749 [8 per cell]
Sm: 0.247 0.247 0.503 [8 per cell]
Cd: 0.000 0.000 0.500 [2 per cell]

What is the formula in the eighth record?
Pr3Sm8Cd

What is the calculated formation energy in the eighth record?
5.6 eV/f.u.

Repeat the third record exactly.
First-principles (PBE-GGA) data for an optimized crystal structure of Pr2SmCd6, as listed in the Alexandria database.

Output
Its total magnetic moment is 0.39 μB per formula unit. As for the crystal system: hexagonal. The calculation puts the calculated formation energy at -3.1 eV/f.u.

Unit cell a=8.8183 b=8.8183 c=3.4710 alpha=90.00 beta=90.00 gamma=120.00
Space group P6/mmm (No. 191)
One atom of each set of equivalent atoms:
Pr: 0.3333 0.6667 0.0000 [2 per cell]
Sm: 0.0000 0.0000 0.0000 [1 per cell]
Cd: 0.0000 0.3315 0.5000 [6 per cell]